The following is a PBE-GGA calculation of a geometry-optimized NiAg2 structure, from Alexandria.

Values from the calculation:
ρ: 9.67 Mg/m³
M_tot: 0.0 μB/cell
Formation enthalpy at 0 K: 0.288 eV per atom
Electronic total energy: -10.6 eV per formula unit
Space group: P6_3/mmc (194)
Energy above the most stable polymorph in this dataset: 107.9 meV per atom
D(E_F): 0.560 states/eV per atom

```
6
Lattice="2.235 -3.870 0.000 2.235 3.870 0.000 0.000 0.000 5.451" Properties=species:S:1:pos:R:3 pbc="T T T"
Ni 2.235 1.290 4.088
Ni 2.235 -1.290 1.363
Ag 0.000 0.000 0.000
Ag 0.000 0.000 2.725
Ag 2.235 1.290 1.363
Ag 2.235 -1.290 4.088
```

---

The following is a PBE-GGA calculation of a geometry-optimized NiAg structure, from Alexandria.

Values from the calculation:
ρ: 9.49 Mg/m³
M_tot: 0.9 μB/cell
Formation enthalpy at 0 K: 0.232 eV per atom
Electronic total energy: -8.2 eV per formula unit
Space group: P-3m1 (164)
D(E_F): 1.161 states/eV per atom

```
4
Lattice="1.377 -2.386 0.000 1.377 2.386 0.000 0.000 0.000 8.874" Properties=species:S:1:pos:R:3 pbc="T T T"
Ni 1.377 0.795 3.525
Ni 1.377 -0.795 5.349
Ag 1.377 0.795 7.597
Ag 1.377 -0.795 1.277
```

---

The following is a PBE-GGA calculation of a geometry-optimized Ni3Ag structure, from Alexandria.

Values from the calculation:
ρ: 9.22 Mg/m³
M_tot: 1.4 μB/cell
Formation enthalpy at 0 K: 0.327 eV per atom
Electronic total energy: -18.9 eV per formula unit
Space group: R-3m (166)
D(E_F): 2.216 states/eV per atom

```
4
Lattice="-0.359 4.849 -0.304 -4.161 -2.505 0.379 3.877 -1.786 2.348" Properties=species:S:1:pos:R:3 pbc="T T T"
Ag 0.000 0.000 0.000
Ni -0.142 -2.145 1.363
Ni 1.759 1.531 1.022
Ni -2.260 1.172 0.038
```